## Ac7Rh2Pb (PBE)

Data for an optimized crystal structure of Ac7Rh2Pb.

Cell and atoms, written as CIF:
```
data_Ac7Rh2Pb
_cell_length_a 5.2609
_cell_length_b 5.2609
_cell_length_c 25.7264
_cell_angle_alpha 90.00
_cell_angle_beta 90.00
_cell_angle_gamma 90.00
_space_group_name_H-M_alt 'I 4/m m m'
_space_group_IT_number 139
_space_group_name_Hall '-I 4 2'
loop_
_atom_site_label
_atom_site_type_symbol
_atom_site_fract_x
_atom_site_fract_y
_atom_site_fract_z
_atom_site_occupancy
Ac1 Ac 0.0000 0.0000 0.0000 1
Ac2 Ac 0.0000 0.5000 0.1067 1
Ac3 Ac 0.0000 0.5000 0.2500 1
Rh1 Rh 0.0000 0.0000 0.1764 1
Pb1 Pb 0.0000 0.0000 0.5000 1
```

Properties
DOS(E_F)	1.05	states/eV/atom
final energy	-100.51	eV/cell
formation enthalpy at 0 K	-0.308	eV per atom